No. 1
CdRe2Si after structural relaxation. Source: Alexandria, functional PBE.

E above lowest polymorph = 418 meV/atom

Unit cell a=5.2915 b=5.2915 c=2.7831 alpha=103.46 beta=103.46 gamma=115.70
Last column: nearest neighbours and their distance in Å.
Element x y z (fractional)
Cd (0.0000, 0.0000, 0.0000)  4 Re 2.69, 2 Cd 2.78, 4 Si 2.82-2.97
Re (0.0000, 0.5000, 0.5000)  2 Si 2.69, 2 Cd 2.69, 6 Re 2.78-2.97
Re (0.5000, 0.0000, 0.5000)  2 Si 2.69, 2 Cd 2.69, 6 Re 2.78-2.97
Si (0.5000, 0.5000, 0.0000)  4 Re 2.69, 2 Si 2.78, 4 Cd 2.82-2.97

---

No. 2
CdReSi2 after structural relaxation. Source: Alexandria, functional PBE.

Unit cell a=8.6625 b=8.6625 c=8.6625 alpha=19.78 beta=19.78 gamma=19.78
Last column: nearest neighbours and their distance in Å.
Element x y z (fractional)
Cd (0.0000, 0.0000, 0.0000)  3 Re 2.97, 6 Cd 2.98, 3 Si 2.99
Re (0.2380, 0.2380, 0.2380)  3 Si 2.47
Si (0.5019, 0.5019, 0.5019)  3 Re 2.47, 3 Si 2.52
Si (0.7628, 0.7628, 0.7628)  3 Si 2.52

---

Number 1: formation energy (no corrections) 636 meV per atom, raw total energy -28.69 eV/cell. Number 2: formation energy (no corrections) 380 meV per atom, raw total energy -22.69 eV/cell.